[1]
First-principles (PBE) data for a relaxed structure of YScCo2, as listed in Alexandria.

Calculated values
ΔE to the lowest computed polymorph: 0.604 eV/f.u.
energy of formation: -0.058 eV/atom
DOS at the Fermi energy: 3.157 states/eV/cell
theoretical density: 5.67 g/cm³
space group: No. 44

Structure (POSCAR):
```
YScCo2
1.0
6.0015 -0.0147 -0.0200
5.0994 3.1646 -0.0200
1.4431 0.4095 3.8612
Y Co Sc
1 2 1
direct
0.2735 0.2735 0.2265 Y
0.0389 0.0389 0.9611 Co
0.6884 0.6884 0.8117 Co
0.4992 0.4992 0.5008 Sc
```

[2]
First-principles (PBE) data for a relaxed structure of Y2Sc2Co, as listed in Alexandria.

Calculated values
ΔE to the lowest computed polymorph: 0.591 eV/f.u.
energy of formation: 0.049 eV/atom
DOS at the Fermi energy: 14.784 states/eV/cell
theoretical density: 4.48 g/cm³
space group: No. 127

Structure (POSCAR):
```
Y2Sc2Co
1.0
-5.8467 2.3304 2.1311
-0.1656 -4.7045 4.6900
2.5997 3.3581 3.4603
Y Sc Co
4 4 2
direct
0.6707 0.8293 0.5000 Y
0.8293 0.3293 0.5000 Y
0.3293 0.1707 0.5000 Y
0.1707 0.6707 0.5000 Y
0.3391 0.8391 0.0000 Sc
0.6609 0.1609 0.0000 Sc
0.8391 0.6609 0.0000 Sc
0.1609 0.3391 0.0000 Sc
0.5000 0.5000 0.0000 Co
0.0000 0.0000 0.0000 Co
```

[3]
First-principles (PBE) data for a relaxed structure of YSc2Co, as listed in Alexandria.

Calculated values
ΔE to the lowest computed polymorph: 0.777 eV/f.u.
energy of formation: 0.004 eV/atom
DOS at the Fermi energy: 5.067 states/eV/cell
theoretical density: 4.19 g/cm³
space group: No. 166

Structure (POSCAR):
```
YSc2Co
1.0
-5.3062 -3.1071 6.6813
-6.4228 -5.0391 3.9755
-3.5788 -6.0223 5.7770
Sc Y Co
2 1 1
direct
0.4722 0.4722 0.4722 Sc
0.0278 0.0278 0.0278 Sc
0.2500 0.2500 0.2500 Y
0.7500 0.7500 0.7500 Co
```

[4]
First-principles (PBE) data for a relaxed structure of Y2ScCo, as listed in Alexandria.

Calculated values
ΔE to the lowest computed polymorph: 0.363 eV/f.u.
energy of formation: -0.073 eV/atom
DOS at the Fermi energy: 4.676 states/eV/cell
theoretical density: 4.91 g/cm³
space group: No. 99

Structure (POSCAR):
```
Y2ScCo
1.0
3.3093 0.0305 0.0000
-0.0338 3.3092 0.0000
0.0000 0.0000 8.6958
Co Y Sc
1 2 1
direct
0.0000 0.0000 0.5186 Co
0.0000 0.0000 0.9834 Y
0.5000 0.5000 0.3192 Y
0.5000 0.5000 0.6788 Sc
```

Repeat the first record exactly.
First-principles (PBE) data for a relaxed structure of YScCo2, as listed in Alexandria.

Calculated values
ΔE to the lowest computed polymorph: 0.604 eV/f.u.
energy of formation: -0.058 eV/atom
DOS at the Fermi energy: 3.157 states/eV/cell
theoretical density: 5.67 g/cm³
space group: No. 44

Structure (POSCAR):
```
YScCo2
1.0
6.0015 -0.0147 -0.0200
5.0994 3.1646 -0.0200
1.4431 0.4095 3.8612
Y Co Sc
1 2 1
direct
0.2735 0.2735 0.2265 Y
0.0389 0.0389 0.9611 Co
0.6884 0.6884 0.8117 Co
0.4992 0.4992 0.5008 Sc
```

Repeat the fourth record exactly.
First-principles (PBE) data for a relaxed structure of Y2ScCo, as listed in Alexandria.

Calculated values
ΔE to the lowest computed polymorph: 0.363 eV/f.u.
energy of formation: -0.073 eV/atom
DOS at the Fermi energy: 4.676 states/eV/cell
theoretical density: 4.91 g/cm³
space group: No. 99

Structure (POSCAR):
```
Y2ScCo
1.0
3.3093 0.0305 0.0000
-0.0338 3.3092 0.0000
0.0000 0.0000 8.6958
Co Y Sc
1 2 1
direct
0.0000 0.0000 0.5186 Co
0.0000 0.0000 0.9834 Y
0.5000 0.5000 0.3192 Y
0.5000 0.5000 0.6788 Sc
```